Record 1
A geometry-optimized KRbCrC2 structure. Source: the Alexandria database, functional PBE.

The volume is 33.16 A^3/atom.

Lattice parameters (Å, degrees): 5.3575 5.7768 5.3575 90.00 90.00 90.00
Closest atoms and distances in Å follow each position.
Fractional coordinates of all 5 atoms:
1 C 0.0000 0.0000 0.5000  2 K 2.68
2 C 0.5000 0.0000 0.0000  2 K 2.68
3 K 0.0000 0.0000 0.0000  4 C 2.68, 2 Rb 2.89
4 Rb 0.0000 0.5000 0.0000  2 K 2.89
5 Cr 0.5000 0.5000 0.5000  4 Rb 3.79, 8 C 3.94

Record 2
A geometry-optimized ErZr2Rh structure. Source: the Alexandria database, functional PBE.

The value obtained for the energy above the lowest structure with this stoichiometry is 0 meV per atom. The volume is 22.74 A^3/atom.

Lattice parameters (Å, degrees): 4.3189 5.9566 7.5864 90.00 90.00 111.23
Closest atoms and distances in Å follow each position.
Fractional coordinates of all 8 atoms:
1 Rh 0.7791 0.5587 0.7500  6 Zr 2.70-2.79
2 Rh 0.2209 0.4413 0.2500  6 Zr 2.70-2.79
3 Zr 0.6439 0.2877 0.4541  3 Rh 2.70-2.79
4 Zr 0.6439 0.2877 0.0459  3 Rh 2.70-2.79
5 Zr 0.3561 0.7123 0.9541  3 Rh 2.70-2.79
6 Zr 0.3561 0.7123 0.5459  3 Rh 2.70-2.79
7 Er 0.9460 0.8924 0.2500  3 Rh 3.05-3.31, 4 Zr 3.27
8 Er 0.0540 0.1076 0.7500  3 Rh 3.05-3.31, 4 Zr 3.27

Record 3
A geometry-optimized Ca3ZnIr3 structure. Source: the Alexandria database, functional PBE.

The volume is 21.86 A^3/atom.

Lattice parameters (Å, degrees): 4.3850 5.6678 13.3526 90.00 90.00 112.76
Closest atoms and distances in Å follow each position.
Fractional coordinates of all 14 atoms:
1 Ir 0.9332 0.8665 0.9126  2 Ir 2.49-2.72, 2 Zn 2.58
2 Ir 0.0668 0.1335 0.4126  2 Ir 2.49-2.72, 2 Zn 2.58
3 Ir 0.0668 0.1335 0.0874  2 Ir 2.49-2.72, 2 Zn 2.58
4 Ir 0.9332 0.8665 0.5874  2 Ir 2.49-2.72, 2 Zn 2.58
5 Ir 0.8165 0.6331 0.7500  2 Ir 2.49
6 Ir 0.1835 0.3669 0.2500  2 Ir 2.49
7 Ca 0.2220 0.4441 0.6069  6 Ir 3.03-3.12, 1 Zn 3.24
8 Ca 0.7780 0.5559 0.1069  6 Ir 3.03-3.12, 1 Zn 3.24
9 Ca 0.5111 0.0222 0.7500  7 Ir 2.99-3.19, 2 Zn 3.34
10 Ca 0.4889 0.9778 0.2500  7 Ir 2.99-3.19, 2 Zn 3.34
11 Ca 0.7780 0.5559 0.3931  6 Ir 3.03-3.12, 1 Zn 3.24
12 Ca 0.2220 0.4441 0.8931  6 Ir 3.03-3.12, 1 Zn 3.24
13 Zn 0.5000 0.0000 0.0000  4 Ir 2.58
14 Zn 0.5000 0.0000 0.5000  4 Ir 2.58

no.,D(E_F) (states/eV per cell),formation enthalpy at 0 K (kJ/mol of formula units)
1,2.850,1491
2,8.526,-153
3,8.293,-289